First-principles (GGA+U) data for Li3Co4O8 after structural relaxation, as listed in Alexandria via LeMat-Bulk.

Unit cell a=9.9756 b=5.6428 c=10.3333 alpha=90.00 beta=111.21 gamma=90.00
Space group C2/c (No. 15)
Unique sites:
Li  0.0000  0.2442  0.2500
Li  0.2369  0.4922  0.7549
Co  0.0000  0.0000  0.0000
Co  0.0000  0.5000  0.0000
Co  0.2500  0.2500  0.0000
Co  0.2500  0.2500  0.5000
O  0.1112  0.2458  0.1157
O  0.1248  0.2483  0.6041
O  0.1268  0.0007  0.3992
O  0.1290  0.4985  0.8978

Offset from the most stable computed form ... 40.5 meV/atom